No. 1
A plane-wave DFT calculation with PBE-GGA was carried out for an optimized crystal structure of TcSb2Pb.

Properties
Density of states at the Fermi level, states/eV/atom: 0.608
Raw formation energy, kJ/mol of formula units: 22
Symmetry: P2/m

Lattice parameters (Å, degrees): 3.2554 3.2513 9.5741 90.00 90.14 90.00
Atoms (fractional coordinates):
1 Tc 0.0000 0.0000 0.0000
2 Sb 0.4987 0.5000 0.8286
3 Sb 0.5013 0.5000 0.1714
4 Pb 0.5000 0.0000 0.5000

---

No. 2
A plane-wave DFT calculation with PBE-GGA was carried out for an optimized crystal structure of SrTeSe2.

Properties
Density of states at the Fermi level, states/eV/atom: 0.042
Raw formation energy, kJ/mol of formula units: -348
Symmetry: P2/m

Lattice parameters (Å, degrees): 4.3075 3.9316 7.2109 90.00 106.42 90.00
Atoms (fractional coordinates):
1 Sr 0.0000 0.0000 0.0000
2 Te 0.5000 0.0000 0.5000
3 Se 0.4157 0.5000 0.7672
4 Se 0.5843 0.5000 0.2328

---

Total magnetization values, unit μB/cell, following the record order: 0.0; 0.0.